Entry 1:
3
Lattice="4.943 0.000 0.000 -2.471 4.281 0.000 0.000 0.000 2.823" Properties=species:S:1:pos:R:3 comment="CdPSe meta-GGA SCAN PBEsol geometry" dos_at_fermi_per_ev_cell=1.452 e_above_lowest_polymorph_mev_per_atom=0 rho_kg_m3=6182 volume_a3_per_fu=59.7 formation_energy_uncorrected_ev_per_atom=0.4914 pbc="T T T"
Cd 0.000 0.000 0.000
P 2.471 1.427 0.000
Se 0.000 2.854 0.000

Entry 2:
5
Lattice="4.412 0.000 0.000 0.000 4.412 0.000 0.000 0.000 4.412" Properties=species:S:1:pos:R:3 comment="CsTi3F meta-GGA SCAN PBEsol geometry" dos_at_fermi_per_ev_cell=2.446 rho_kg_m3=5713 volume_a3_per_fu=85.9 formation_energy_uncorrected_ev_per_atom=0.5196 pbc="T T T"
Cs 0.000 0.000 0.000
Ti 0.000 2.206 2.206
Ti 2.206 0.000 2.206
Ti 2.206 2.206 0.000
F 2.206 2.206 2.206

Entry 3:
5
Lattice="4.382 0.000 0.000 0.000 4.382 0.000 0.000 0.000 4.382" Properties=species:S:1:pos:R:3 comment="CrAsRh3 meta-GGA SCAN PBEsol geometry" formation_enthalpy_0k_kj_per_mol_atoms=93 dos_at_fermi_per_ev_cell=3.919 rho_kg_m3=8597 volume_a3_per_fu=84.1 pbc="T T T"
Cr 0.000 0.000 0.000
As 2.191 2.191 2.191
Rh 0.000 0.000 2.191
Rh 0.000 2.191 0.000
Rh 2.191 0.000 0.000

Entry 4:
5
Lattice="4.655 0.000 0.000 0.000 4.655 0.000 0.000 0.000 4.985" Properties=species:S:1:pos:R:3 comment="MgScMnP2 meta-GGA SCAN PBEsol geometry" formation_enthalpy_0k_kj_per_mol_atoms=76 dos_at_fermi_per_ev_cell=3.377 rho_kg_m3=2862 volume_a3_per_fu=108.0 pbc="T T T"
Mg 0.000 0.000 0.000
Sc 0.000 0.000 2.493
Mn 2.327 2.327 2.493
P 0.000 2.327 0.000
P 2.327 0.000 0.000

Entry 5:
5
Lattice="3.856 0.000 0.000 0.000 3.856 0.000 0.000 0.000 3.856" Properties=species:S:1:pos:R:3 comment="MnHIr3 meta-GGA SCAN PBEsol geometry" dos_at_fermi_per_ev_cell=4.651 final_energy_ev_per_atom=-47.086 rho_kg_m3=18320 volume_a3_per_fu=57.3 pbc="T T T"
Mn 0.000 0.000 0.000
H 1.928 1.928 1.928
Ir 0.000 1.928 1.928
Ir 1.928 0.000 1.928
Ir 1.928 1.928 0.000

Entry 6:
4
Lattice="-2.100 2.155 3.954 2.100 -2.155 3.954 2.100 2.155 -3.954" Properties=species:S:1:pos:R:3 comment="YTeRh2 meta-GGA SCAN PBEsol geometry" dos_at_fermi_per_ev_cell=2.966 e_above_lowest_polymorph_mev_per_atom=16 rho_kg_m3=9801 volume_a3_per_fu=71.6 formation_energy_uncorrected_ev_per_atom=-0.6731 pbc="T T T"
Y 0.000 0.000 0.000
Te 0.000 0.000 3.954
Rh 2.100 0.000 2.006
Rh 0.000 2.155 1.948

Entry 7:
6
Lattice="0.000 3.293 3.293 3.293 0.000 3.293 3.293 3.293 0.000" Properties=species:S:1:pos:R:3 comment="Cr4OsRu meta-GGA SCAN PBEsol geometry" formation_enthalpy_0k_kj_per_mol_atoms=0 dos_at_fermi_per_ev_cell=4.328 rho_kg_m3=11610 volume_a3_per_fu=71.4 pbc="T T T"
Cr 0.824 0.824 0.824
Cr 2.469 2.469 0.824
Cr 2.469 0.824 2.469
Cr 0.824 2.469 2.469
Os 3.293 3.293 3.293
Ru 4.939 4.939 4.939

Entry 8:
4
Lattice="3.119 0.000 0.000 0.000 3.118 0.000 -0.011 0.000 7.484" Properties=species:S:1:pos:R:3 comment="LiCoSb2 meta-GGA SCAN PBEsol geometry" dos_at_fermi_per_ev_cell=0.830 e_above_lowest_polymorph_mev_per_atom=0 rho_kg_m3=7060 volume_a3_per_fu=72.8 formation_energy_uncorrected_ev_per_atom=-0.0383 pbc="T T T"
Li 0.000 0.000 0.000
Co -0.006 0.000 3.742
Sb 1.556 1.559 2.167
Sb 1.551 1.559 5.317

> What is the formula in the fifth record?

MnHIr3